1.
## YCu2Tc (PBEsol)

Data for crystalline YCu2Tc at its relaxed geometry.

```
YCu2Tc
1.0
3.2985 0.0000 0.0000
0.0000 3.2985 0.0000
0.0000 0.0000 5.7962
Y Cu Tc
1 2 1
Direct
0.0000 0.0000 0.0000
0.5000 0.5000 0.2943
0.5000 0.5000 0.7057
0.0000 0.0000 0.5000
```

energy of formation: 0.19 eV per atom
density: 8.3 g/cm³
symmetry: P4/mmm
magnetization: 0.002 μB/cell
volume: 63.1 Å³/f.u.
energy above the most stable polymorph in this dataset: 0 meV/atom


2.
## YCuTc3 (PBEsol)

Data for crystalline YCuTc3 at its relaxed geometry.

```
YCuTc3
1.0
4.4884 0.0000 0.0000
0.0000 4.4884 0.0000
0.0000 0.0000 4.4884
Y Cu Tc
1 1 3
Direct
0.0000 0.0000 0.0000
0.5000 0.5000 0.5000
0.0000 0.5000 0.5000
0.5000 0.0000 0.5000
0.5000 0.5000 0.0000
```

energy of formation: 1.24 eV per atom
density: 8.2 g/cm³
symmetry: Pm-3m
magnetization: 0.001 μB/cell
volume: 90.4 Å³/f.u.


Question: Which value of magnetization does entry 2 give?
Answer: 0.001 μB/cell